# NaFe2N3 PBE relaxed
# V   12.11 Å³/atom
# VASP energy   -7.231 eV per atom
# D(E_F)   0.531 states/eV per atom
# Uncorrected formation energy   -0.028 eV per atom
# Spin magnetization   0.0 μB/f.u.
data_NaFe2N3
_space_group_name_H-M_alt 'C m c m'
_space_group_IT_number 63
_space_group_name_Hall '-C 2c 2'
_cell_length_a 6.207
_cell_length_b 9.918
_cell_length_c 4.722
_cell_angle_alpha 90.00
_cell_angle_beta 90.00
_cell_angle_gamma 90.00
loop_
_atom_site_label
_atom_site_type_symbol
_atom_site_fract_x
_atom_site_fract_y
_atom_site_fract_z
Na1 Na 0.000 0.229 0.250
Fe1 Fe 0.194 0.500 0.000
N1 N 0.000 0.412 0.750
N2 N 0.103 0.067 0.750